[1]
Material: FeP2Os
Method: DFT, GGA-PBE
State: optimized geometry Values from VASP.

Cell and atoms, written as Quantum ESPRESSO input:
```
&SYSTEM
  ibrav = 0, nat = 4, ntyp = 3
/
ATOMIC_SPECIES
Os 190.23 Os.upf
Fe 55.84 Fe.upf
P 30.97 P.upf
ATOMIC_POSITIONS crystal
Os 0.750 0.250 0.500
Fe 0.500 0.500 0.000
P 0.250 0.750 0.500
P 0.000 0.000 0.000
CELL_PARAMETERS angstrom
4.898 0.002 0.000
2.499 4.212 0.000
-3.698 -2.107 2.423
```

Output
SG: No. 119
Formation energy in eV/atom: 0.30
Polymorph energy (0 for the lowest one) in meV per atom: 552


[2]
Material: Ca5MgSb4
Method: DFT, GGA-PBE
State: optimized geometry Values from VASP.

Cell and atoms, written as Quantum ESPRESSO input:
```
&SYSTEM
  ibrav = 0, nat = 10, ntyp = 3
/
ATOMIC_SPECIES
Ca 40.08 Ca.upf
Sb 121.76 Sb.upf
Mg 24.30 Mg.upf
ATOMIC_POSITIONS crystal
Ca 0.594 0.343 0.969
Sb 0.010 0.240 0.240
Sb 0.250 0.718 0.282
Ca 0.906 0.657 0.031
Sb 0.490 0.760 0.760
Mg 0.250 0.000 0.000
Ca 0.906 0.031 0.657
Ca 0.750 0.500 0.500
Ca 0.594 0.969 0.343
Sb 0.250 0.282 0.718
CELL_PARAMETERS angstrom
-1.194 -3.410 3.013
6.895 -1.390 4.831
-1.478 3.866 7.462
```

Output
SG: No. 71
Raw formation energy in eV per formula unit: -8.23


[3]
Material: PrY4Tm2
Method: DFT, GGA-PBE
State: optimized geometry Values from VASP.

Cell and atoms, written as Quantum ESPRESSO input:
```
&SYSTEM
  ibrav = 0, nat = 14, ntyp = 3
/
ATOMIC_SPECIES
Tm 168.93 Tm.upf
Y 88.91 Y.upf
Pr 140.91 Pr.upf
ATOMIC_POSITIONS crystal
Tm 0.389 0.250 0.992
Y 0.367 0.992 0.711
Pr 0.822 0.250 0.867
Y 0.633 0.492 0.289
Tm 0.611 0.750 0.008
Pr 0.178 0.750 0.133
Y 0.144 0.750 0.421
Y 0.020 0.250 0.165
Y 0.980 0.750 0.835
Y 0.856 0.250 0.579
Y 0.367 0.508 0.711
Tm 0.710 0.750 0.551
Tm 0.290 0.250 0.449
Y 0.633 0.008 0.289
CELL_PARAMETERS angstrom
6.082 0.000 -0.391
0.000 6.600 0.000
-2.536 0.000 11.411
```

Output
SG: No. 11
Formation energy in eV/atom: 0.13
Polymorph energy (0 for the lowest one) in meV per atom: 100


[4]
Material: Na2LaCu2
Method: DFT, GGA-PBE
State: optimized geometry Values from VASP.

Cell and atoms, written as Quantum ESPRESSO input:
```
&SYSTEM
  ibrav = 0, nat = 10, ntyp = 3
/
ATOMIC_SPECIES
Na 22.99 Na.upf
La 138.91 La.upf
Cu 63.55 Cu.upf
ATOMIC_POSITIONS crystal
Na 0.659 0.841 0.500
La 0.000 0.000 0.000
Na 0.841 0.341 0.500
Na 0.159 0.659 0.500
La 0.500 0.500 0.000
Na 0.341 0.159 0.500
Cu 0.116 0.384 0.000
Cu 0.616 0.116 0.000
Cu 0.884 0.616 0.000
Cu 0.384 0.884 0.000
CELL_PARAMETERS angstrom
-4.780 5.295 1.930
-5.607 -4.210 -2.334
-0.359 -1.864 4.224
```

Output
SG: No. 127
Formation energy in eV/atom: 0.23
Polymorph energy (0 for the lowest one) in meV per atom: 161


[5]
Material: Pm2BeSbRh6
Method: DFT, GGA-PBE
State: optimized geometry Values from VASP.

Cell and atoms, written as Quantum ESPRESSO input:
```
&SYSTEM
  ibrav = 0, nat = 10, ntyp = 4
/
ATOMIC_SPECIES
Rh 102.91 Rh.upf
Pm 145.00 Pm.upf
Sb 121.76 Sb.upf
Be 9.01 Be.upf
ATOMIC_POSITIONS crystal
Rh 0.730 0.270 0.000
Rh 0.730 0.730 0.541
Rh 0.730 0.729 0.000
Pm 0.750 0.250 0.500
Sb 0.000 0.000 0.000
Be 0.500 0.500 0.000
Pm 0.250 0.750 0.500
Rh 0.270 0.271 0.000
Rh 0.270 0.270 0.459
Rh 0.270 0.730 0.000
CELL_PARAMETERS angstrom
6.422 -0.001 0.004
-0.001 6.426 0.004
3.214 3.216 4.548
```

Output
SG: No. 12
Raw formation energy in eV per formula unit: -3.74


[6]
Material: YN
Method: DFT, GGA-PBE
State: optimized geometry Values from VASP.

Cell and atoms, written as Quantum ESPRESSO input:
```
&SYSTEM
  ibrav = 0, nat = 2, ntyp = 2
/
ATOMIC_SPECIES
N 14.01 N.upf
Y 88.91 Y.upf
ATOMIC_POSITIONS crystal
N 0.000 0.000 0.500
Y 0.667 0.333 0.000
CELL_PARAMETERS angstrom
3.366 0.000 0.000
-1.683 2.915 0.000
0.000 0.000 3.063
```

Output
SG: No. 187
Raw formation energy in eV per formula unit: -2.44


[7]
Material: Tm6TlPb
Method: DFT, GGA-PBE
State: optimized geometry Values from VASP.

Cell and atoms, written as Quantum ESPRESSO input:
```
&SYSTEM
  ibrav = 0, nat = 8, ntyp = 3
/
ATOMIC_SPECIES
Tm 168.93 Tm.upf
Tl 204.38 Tl.upf
Pb 207.20 Pb.upf
ATOMIC_POSITIONS crystal
Tm 0.383 0.883 0.500
Tl 0.000 0.000 0.000
Tm 0.751 0.751 0.000
Tm 0.883 0.383 0.500
Tm 0.617 0.117 0.500
Tm 0.117 0.617 0.500
Tm 0.249 0.249 0.000
Pb 0.500 0.500 0.000
CELL_PARAMETERS angstrom
-2.535 2.535 9.013
2.535 -2.535 9.013
2.535 2.535 -9.013
```

Output
SG: No. 139
Formation energy in eV/atom: -0.19


[8]
Material: Pm3Er2ScS6
Method: DFT, GGA-PBE
State: optimized geometry Values from VASP.

Cell and atoms, written as Quantum ESPRESSO input:
```
&SYSTEM
  ibrav = 0, nat = 12, ntyp = 4
/
ATOMIC_SPECIES
Pm 145.00 Pm.upf
S 32.06 S.upf
Er 167.26 Er.upf
Sc 44.96 Sc.upf
ATOMIC_POSITIONS crystal
Pm 0.168 0.835 0.335
S 0.341 0.910 0.681
S 0.659 0.090 0.319
S 0.998 0.768 0.995
S 0.671 0.574 0.341
Pm 0.832 0.165 0.665
Er 0.835 0.669 0.669
Sc 0.500 0.000 0.000
S 0.002 0.232 0.005
Pm 0.500 0.500 0.000
Er 0.165 0.331 0.331
S 0.329 0.426 0.659
CELL_PARAMETERS angstrom
3.886 0.000 0.000
0.000 7.932 0.189
-1.943 -2.384 8.253
```

Output
SG: No. 12
Raw formation energy in eV per formula unit: -23.71


[9]
Material: LaAl2Si2
Method: DFT, GGA-PBE
State: optimized geometry Values from VASP.

Cell and atoms, written as Quantum ESPRESSO input:
```
&SYSTEM
  ibrav = 0, nat = 10, ntyp = 3
/
ATOMIC_SPECIES
La 138.91 La.upf
Al 26.98 Al.upf
Si 28.09 Si.upf
ATOMIC_POSITIONS crystal
La 0.500 0.500 0.000
Al 0.379 0.879 0.000
Al 0.621 0.121 0.000
La 0.000 0.000 0.000
Si 0.833 0.333 0.500
Al 0.879 0.621 0.000
Si 0.667 0.833 0.500
Al 0.121 0.379 0.000
Si 0.167 0.667 0.500
Si 0.333 0.167 0.500
CELL_PARAMETERS angstrom
-3.715 -3.964 -5.392
2.965 -6.504 2.738
-2.605 -0.330 2.037
```

Output
SG: No. 127
Raw formation energy in eV per formula unit: -0.53


[10]
Material: Tc4C
Method: DFT, GGA-PBE
State: optimized geometry Values from VASP.

Cell and atoms, written as Quantum ESPRESSO input:
```
&SYSTEM
  ibrav = 0, nat = 5, ntyp = 2
/
ATOMIC_SPECIES
Tc 98.00 Tc.upf
C 12.01 C.upf
ATOMIC_POSITIONS crystal
Tc 0.000 0.000 0.500
Tc 0.500 0.000 0.000
Tc 0.500 0.500 0.500
Tc 0.000 0.500 0.000
C 0.000 0.000 0.000
CELL_PARAMETERS angstrom
-2.597 2.597 2.597
2.597 -2.597 2.597
2.597 2.597 -2.597
```

Output
SG: No. 229
Formation energy in eV/atom: 0.88
Polymorph energy (0 for the lowest one) in meV per atom: 719


[11]
Material: NaSr3RuO6
Method: DFT, GGA-PBE
State: optimized geometry Values from VASP.

Cell and atoms, written as Quantum ESPRESSO input:
```
&SYSTEM
  ibrav = 0, nat = 22, ntyp = 4
/
ATOMIC_SPECIES
O 16.00 O.upf
Sr 87.62 Sr.upf
Na 22.99 Na.upf
Ru 101.07 Ru.upf
ATOMIC_POSITIONS crystal
O 0.575 0.445 0.778
Sr 0.892 0.250 0.608
O 0.222 0.425 0.555
O 0.778 0.575 0.445
O 0.278 0.945 0.075
O 0.425 0.555 0.222
O 0.925 0.722 0.055
Na 0.750 0.750 0.750
O 0.075 0.278 0.945
O 0.945 0.075 0.278
Ru 0.000 0.000 0.000
Sr 0.608 0.892 0.250
Sr 0.750 0.392 0.108
Sr 0.392 0.108 0.750
O 0.055 0.925 0.722
Na 0.250 0.250 0.250
Sr 0.250 0.608 0.892
O 0.445 0.778 0.575
Sr 0.108 0.750 0.392
O 0.555 0.222 0.425
Ru 0.500 0.500 0.500
O 0.722 0.055 0.925
CELL_PARAMETERS angstrom
-5.727 -0.875 -3.617
2.904 -5.334 -3.124
-2.384 -4.068 4.941
```

Output
SG: No. 167
Raw formation energy in eV per formula unit: -23.74


[12]
Material: LaPr2Y6Er3
Method: DFT, GGA-PBE
State: optimized geometry Values from VASP.

Cell and atoms, written as Quantum ESPRESSO input:
```
&SYSTEM
  ibrav = 0, nat = 12, ntyp = 4
/
ATOMIC_SPECIES
Y 88.91 Y.upf
Pr 140.91 Pr.upf
La 138.91 La.upf
Er 167.26 Er.upf
ATOMIC_POSITIONS crystal
Y 0.248 0.248 0.744
Pr 0.333 0.667 0.000
La 0.000 0.000 0.000
Y 0.419 0.085 0.256
Pr 0.667 0.333 0.000
Y 0.581 0.915 0.744
Y 0.915 0.581 0.744
Er 0.833 0.167 0.500
Y 0.752 0.752 0.256
Y 0.085 0.419 0.256
Er 0.167 0.833 0.500
Er 0.500 0.500 0.500
CELL_PARAMETERS angstrom
-4.864 -3.899 0.090
5.808 -2.259 0.190
-0.501 2.552 11.591
```

Output
SG: No. 12
Formation energy in eV/atom: 0.02


[13]
Material: FeHOsRu2
Method: DFT, GGA-PBE
State: optimized geometry Values from VASP.

Cell and atoms, written as Quantum ESPRESSO input:
```
&SYSTEM
  ibrav = 0, nat = 5, ntyp = 4
/
ATOMIC_SPECIES
Os 190.23 Os.upf
Ru 101.07 Ru.upf
H 1.01 H.upf
Fe 55.84 Fe.upf
ATOMIC_POSITIONS crystal
Os 0.500 0.500 0.500
Ru 0.000 0.500 0.000
H 0.000 0.000 0.000
Ru 0.500 0.000 0.000
Fe 0.000 0.000 0.500
CELL_PARAMETERS angstrom
-0.848 2.870 2.382
-3.263 0.612 -1.900
-1.775 -2.411 2.273
```

Output
SG: No. 123


[14]
Material: RbBa3P2O8
Method: DFT, GGA-PBE
State: optimized geometry Values from VASP.

Cell and atoms, written as Quantum ESPRESSO input:
```
&SYSTEM
  ibrav = 0, nat = 14, ntyp = 4
/
ATOMIC_SPECIES
O 16.00 O.upf
Rb 85.47 Rb.upf
Ba 137.33 Ba.upf
P 30.97 P.upf
ATOMIC_POSITIONS crystal
O 0.333 0.667 0.006
O 0.184 0.816 0.210
O 0.816 0.184 0.790
O 0.368 0.184 0.790
O 0.667 0.333 0.994
O 0.816 0.632 0.790
Rb 0.000 0.000 0.500
Ba 0.000 0.000 0.000
P 0.667 0.333 0.841
Ba 0.333 0.667 0.756
P 0.333 0.667 0.159
O 0.632 0.816 0.210
Ba 0.667 0.333 0.244
O 0.184 0.368 0.210
CELL_PARAMETERS angstrom
-0.164 5.587 1.089
-0.989 -3.745 4.174
9.987 -0.143 2.239
```

Output
SG: No. 164
Raw formation energy in eV per formula unit: -36.21


[15]
Material: GaSiI3
Method: DFT, GGA-PBE
State: optimized geometry Values from VASP.

Cell and atoms, written as Quantum ESPRESSO input:
```
&SYSTEM
  ibrav = 0, nat = 5, ntyp = 3
/
ATOMIC_SPECIES
Ga 69.72 Ga.upf
I 126.90 I.upf
Si 28.09 Si.upf
ATOMIC_POSITIONS crystal
Ga 0.000 0.000 0.000
I 0.500 0.000 0.000
I 0.000 0.000 0.500
Si 0.500 0.500 0.500
I 0.000 0.500 0.000
CELL_PARAMETERS angstrom
5.654 0.000 0.000
0.000 5.654 0.000
0.000 0.000 5.654
```

Output
SG: No. 221
Polymorph energy (0 for the lowest one) in meV per atom: 488
Raw formation energy in eV per formula unit: 2.25


[16]
Material: Ac2GaAgPd6
Method: DFT, GGA-PBE
State: optimized geometry Values from VASP.

Cell and atoms, written as Quantum ESPRESSO input:
```
&SYSTEM
  ibrav = 0, nat = 10, ntyp = 4
/
ATOMIC_SPECIES
Ac 227.00 Ac.upf
Pd 106.42 Pd.upf
Ga 69.72 Ga.upf
Ag 107.87 Ag.upf
ATOMIC_POSITIONS crystal
Ac 0.743 0.274 0.515
Pd 0.760 0.273 0.984
Pd 0.251 0.085 0.497
Ga 0.500 0.500 0.000
Ac 0.257 0.726 0.485
Ag 0.000 0.000 0.000
Pd 0.744 0.726 0.017
Pd 0.240 0.727 0.016
Pd 0.749 0.915 0.503
Pd 0.256 0.274 0.983
CELL_PARAMETERS angstrom
-2.822 -4.349 -2.007
3.780 -5.221 6.006
-2.735 -4.063 4.952
```

Output
SG: No. 12
Formation energy in eV/atom: -0.64


[17]
Material: NdHoCuRh
Method: DFT, GGA-PBE
State: optimized geometry Values from VASP.

Cell and atoms, written as Quantum ESPRESSO input:
```
&SYSTEM
  ibrav = 0, nat = 4, ntyp = 4
/
ATOMIC_SPECIES
Rh 102.91 Rh.upf
Nd 144.24 Nd.upf
Ho 164.93 Ho.upf
Cu 63.55 Cu.upf
ATOMIC_POSITIONS crystal
Rh 0.250 0.250 0.250
Nd 0.500 0.500 0.500
Ho 0.000 0.000 0.000
Cu 0.750 0.750 0.750
CELL_PARAMETERS angstrom
4.956 0.000 0.000
2.478 4.292 0.000
2.478 1.431 4.047
```

Output
SG: No. 216
Formation energy in eV/atom: -0.49
Polymorph energy (0 for the lowest one) in meV per atom: 37


[18]
Material: Er2Pu3NpS6
Method: DFT, GGA-PBE
State: optimized geometry Values from VASP.

Cell and atoms, written as Quantum ESPRESSO input:
```
&SYSTEM
  ibrav = 0, nat = 12, ntyp = 4
/
ATOMIC_SPECIES
S 32.06 S.upf
Np 237.00 Np.upf
Er 167.26 Er.upf
Pu 244.00 Pu.upf
ATOMIC_POSITIONS crystal
S 0.998 0.751 0.997
Np 0.500 0.000 0.000
Er 0.835 0.665 0.670
S 0.331 0.420 0.661
Pu 0.500 0.500 0.000
S 0.333 0.913 0.667
Pu 0.834 0.166 0.669
Pu 0.166 0.834 0.331
S 0.667 0.087 0.333
Er 0.165 0.335 0.330
S 0.669 0.580 0.339
S 0.002 0.249 0.003
CELL_PARAMETERS angstrom
3.903 0.000 0.000
0.000 7.843 0.284
-1.952 -2.256 8.224
```

Output
SG: No. 12
Raw formation energy in eV per formula unit: -21.37


[19]
Material: LaSbAu2
Method: DFT, GGA-PBE
State: optimized geometry Values from VASP.

Cell and atoms, written as Quantum ESPRESSO input:
```
&SYSTEM
  ibrav = 0, nat = 4, ntyp = 3
/
ATOMIC_SPECIES
Sb 121.76 Sb.upf
Au 196.97 Au.upf
La 138.91 La.upf
ATOMIC_POSITIONS crystal
Sb 0.500 0.500 0.750
Au 0.000 0.000 0.507
Au 0.000 0.000 0.993
La 0.500 0.500 0.250
CELL_PARAMETERS angstrom
3.916 0.000 0.000
0.000 3.909 0.000
0.000 0.000 6.488
```

Output
SG: No. 123
Raw formation energy in eV per formula unit: -2.18


[20]
Material: Pm3Er6Pu
Method: DFT, GGA-PBE
State: optimized geometry Values from VASP.

Cell and atoms, written as Quantum ESPRESSO input:
```
&SYSTEM
  ibrav = 0, nat = 10, ntyp = 3
/
ATOMIC_SPECIES
Pm 145.00 Pm.upf
Er 167.26 Er.upf
Pu 244.00 Pu.upf
ATOMIC_POSITIONS crystal
Pm 0.389 0.795 0.397
Er 0.196 0.402 0.196
Pm 0.611 0.205 0.603
Pm 0.000 0.000 0.000
Er 0.804 0.598 0.804
Er 0.099 0.696 0.602
Pu 0.500 0.500 0.000
Er 0.697 0.896 0.199
Er 0.901 0.304 0.398
Er 0.303 0.104 0.801
CELL_PARAMETERS angstrom
2.704 -3.452 -4.271
-7.114 -5.402 2.765
-4.878 7.969 0.745
```

Output
SG: No. 2
Formation energy in eV/atom: 0.05


[21]
Material: Y6SnSe4
Method: DFT, GGA-PBE
State: optimized geometry Values from VASP.

Cell and atoms, written as Quantum ESPRESSO input:
```
&SYSTEM
  ibrav = 0, nat = 22, ntyp = 3
/
ATOMIC_SPECIES
Se 78.96 Se.upf
Y 88.91 Y.upf
Sn 118.71 Sn.upf
ATOMIC_POSITIONS crystal
Se 0.411 0.822 0.123
Y 0.768 0.535 0.096
Y 0.232 0.465 0.904
Sn 0.333 0.666 0.750
Se 0.142 0.283 0.463
Y 0.768 0.535 0.404
Se 0.589 0.178 0.623
Y 0.049 0.098 0.164
Y 0.049 0.098 0.336
Se 0.411 0.822 0.377
Se 0.858 0.717 0.537
Se 0.589 0.178 0.877
Se 0.142 0.283 0.037
Y 0.662 0.324 0.750
Y 0.500 0.000 0.500
Y 0.500 0.000 0.000
Y 0.951 0.902 0.836
Y 0.338 0.676 0.250
Se 0.858 0.717 0.963
Sn 0.667 0.334 0.250
Y 0.232 0.465 0.596
Y 0.951 0.902 0.664
CELL_PARAMETERS angstrom
4.153 0.000 0.000
-2.077 6.630 0.000
0.000 0.000 20.681
```

Output
SG: No. 63
Raw formation energy in eV per formula unit: -16.06


[22]
Material: CaInH3
Method: DFT, GGA-PBE
State: optimized geometry Values from VASP.

Cell and atoms, written as Quantum ESPRESSO input:
```
&SYSTEM
  ibrav = 0, nat = 5, ntyp = 3
/
ATOMIC_SPECIES
H 1.01 H.upf
Ca 40.08 Ca.upf
In 114.82 In.upf
ATOMIC_POSITIONS crystal
H 0.000 0.000 0.500
H 0.000 0.500 0.000
Ca 0.500 0.500 0.500
H 0.500 0.000 0.000
In 0.000 0.000 0.000
CELL_PARAMETERS angstrom
-3.001 2.244 -1.770
-2.854 -2.224 2.020
0.143 2.682 3.156
```

Output
SG: No. 221
Polymorph energy (0 for the lowest one) in meV per atom: 197


[23]
Material: NpTe2Cl2
Method: DFT, GGA-PBE
State: optimized geometry Values from VASP.

Cell and atoms, written as Quantum ESPRESSO input:
```
&SYSTEM
  ibrav = 0, nat = 10, ntyp = 3
/
ATOMIC_SPECIES
Te 127.60 Te.upf
Np 237.00 Np.upf
Cl 35.45 Cl.upf
ATOMIC_POSITIONS crystal
Te 0.628 0.650 0.000
Np 0.160 0.500 0.681
Cl 0.021 0.269 0.566
Te 0.372 0.350 0.000
Np 0.840 0.500 0.319
Cl 0.413 0.731 0.566
Te 0.121 0.161 0.000
Cl 0.979 0.731 0.434
Cl 0.587 0.269 0.434
Te 0.879 0.839 0.000
CELL_PARAMETERS angstrom
6.050 1.119 3.289
1.965 7.243 1.068
-0.325 0.560 7.805
```

Output
SG: No. 12
Raw formation energy in eV per formula unit: -5.06


The calculation returns the following E_tot values, one per record and in order: -7.33, -3.63, -5.53, -2.92, -6.52, -8.62, -4.30, -6.52, -4.76, -9.26, -6.28, -5.56, -8.17, -6.67, -2.17, -5.17, -5.68, -9.27, -4.45, -5.55, -6.62, -2.80, -5.59 eV/atom.